No. 1
Below is a geometry-optimized CeGa6Ni12 structure, with properties calculated at the PBE level.

a b c (Å): 10.6315 10.6315 7.9858
angles (deg): 90.00 90.00 120.00
Closest atoms and distances in Å follow each position.
Space group R-3m (No. 166, hexagonal axes)
Inequivalent atoms, fractional coordinates:
Ce 0.0000 0.0000 0.0000  6 Ni 2.82
Ga 0.0491 0.5246 0.2469  8 Ni 2.34-2.61
Ni 0.0000 0.3850 0.5000  4 Ga 2.34-2.41, 3 Ni 2.45-2.53
Ni 0.0828 0.1656 0.2964  4 Ga 2.48-2.61, 4 Ni 2.53-2.64

Results
calculated formation energy	-0.227	eV/atom


No. 2
Below is a geometry-optimized CsP2 structure, with properties calculated at the PBE level.

a b c (Å): 3.4711 10.9498 5.0322
angles (deg): 90.00 90.00 90.00
Closest atoms and distances in Å follow each position.
Space group Cmmm (No. 65)
Inequivalent atoms, fractional coordinates:
Cs 0.0000 0.0000 0.0000  2 Cs 3.47, 8 P 3.69
P 0.0000 0.3113 0.5000  2 P 2.19

Results
calculated formation energy	-0.273	eV/atom


No. 3
Below is a geometry-optimized CuSi2 structure, with properties calculated at the PBE level.

a b c (Å): 3.7157 11.6519 3.7843
angles (deg): 90.00 90.00 90.00
Closest atoms and distances in Å follow each position.
Space group Cmmm (No. 65)
Inequivalent atoms, fractional coordinates:
Cu 0.0000 0.1732 0.0000  2 Cu 2.58, 10 Si 2.63-2.77
Si 0.0000 0.0000 0.5000  8 Si 2.65-2.71, 4 Cu 2.77
Si 0.0000 0.3304 0.5000  6 Cu 2.63-2.65, 6 Si 2.64-2.74
Si 0.0000 0.5000 0.0000  8 Si 2.65-2.74, 4 Cu 2.74

Results
formation energy without anion corrections	0.31	eV/atom


No. 4
Below is a geometry-optimized CaSm8Dy5 structure, with properties calculated at the PBE level.

a b c (Å): 9.7138 9.7138 10.2908
angles (deg): 90.00 90.00 90.00
Closest atoms and distances in Å follow each position.
Space group I-4 (No. 82)
Inequivalent atoms, fractional coordinates:
Ca 0.0000 0.0000 0.0000  4 Sm 3.31
Sm 0.0710 0.8251 0.3499  5 Dy 3.39-3.62, 3 Sm 3.60-3.67
Sm 0.0915 0.6713 0.0029  4 Dy 3.17-3.48, 1 Ca 3.31
Dy 0.0000 0.5000 0.2500  8 Sm 3.17-3.39
Dy 0.1101 0.7051 0.6765  8 Sm 3.38-3.62, 2 Dy 3.54

Results
calculated formation energy	0.241	eV/atom


No. 5
Below is a geometry-optimized TbSmInSn structure, with properties calculated at the PBE level.

a b c (Å): 4.3533 4.6054 11.5677
angles (deg): 90.00 90.00 90.00
Closest atoms and distances in Å follow each position.
Space group Amm2 (No. 38)
Inequivalent atoms, fractional coordinates:
Tb 0.0000 0.0000 0.0000  3 In 3.20-3.46, 4 Sn 3.22
Sm 0.5000 0.0000 0.2734  3 Sn 3.20-3.46, 4 In 3.22
In 0.0000 0.0000 0.7238  2 Sn 2.96, 1 Tb 3.20, 4 Sm 3.22
Sn 0.5000 0.0000 0.5501  2 In 2.96, 1 Sm 3.20, 4 Tb 3.22

Results
energy above the most stable polymorph in this dataset	0.000	eV per formula unit
calculated formation energy	-0.624	eV/atom


No. 6
Below is a geometry-optimized PmNdGa structure, with properties calculated at the PBE level.

a b c (Å): 7.1997 7.1997 7.1997
angles (deg): 90.00 90.00 90.00
Closest atoms and distances in Å follow each position.
Space group F-43m (No. 216)
Inequivalent atoms, fractional coordinates:
Pm 0.0000 0.0000 0.0000  4 Ga 3.12
Nd 0.0000 0.0000 0.5000  4 Ga 3.12
Ga 0.2500 0.2500 0.7500  4 Nd 3.12, 4 Pm 3.12

Results
energy above the most stable polymorph in this dataset	0.464	eV per formula unit
calculated formation energy	-0.241	eV/atom


No. 7
Below is a geometry-optimized LiCd2SbCl structure, with properties calculated at the PBE level.

a b c (Å): 5.6015 5.6015 5.3025
angles (deg): 90.00 90.00 90.00
Closest atoms and distances in Å follow each position.
Space group P4/mmm (No. 123)
Inequivalent atoms, fractional coordinates:
Li 0.0000 0.0000 0.0000  2 Sb 2.65
Cd 0.0000 0.5000 0.5000  2 Sb 2.80
Sb 0.0000 0.0000 0.5000  2 Li 2.65, 4 Cd 2.80
Cl 0.5000 0.5000 0.0000  8 Cd 3.86, 4 Li 3.96

Results
formation energy without anion corrections	-0.27	eV/atom


No. 8
Below is a geometry-optimized YTaSe2N structure, with properties calculated at the PBE level.

a b c (Å): 5.3909 5.3909 3.9392
angles (deg): 90.00 90.00 90.00
Closest atoms and distances in Å follow each position.
Space group P4/mmm (No. 123)
Inequivalent atoms, fractional coordinates:
Y 0.0000 0.0000 0.0000  2 N 1.97
Ta 0.5000 0.5000 0.5000  8 Se 3.34
Se 0.0000 0.5000 0.0000  2 Y 2.70
N 0.0000 0.0000 0.5000  2 Y 1.97

Results
formation energy without anion corrections	0.75	eV/atom
energy above the most stable polymorph in this dataset	7.673	eV per formula unit


No. 9
Below is a geometry-optimized LaPu2Si6 structure, with properties calculated at the PBE level.

a b c (Å): 3.8935 8.2901 11.8337
angles (deg): 90.00 90.00 90.00
Closest atoms and distances in Å follow each position.
Space group Immm (No. 71)
Inequivalent atoms, fractional coordinates:
La 0.0000 0.0000 0.0000  12 Si 3.21-3.53
Pu 0.0000 0.5000 0.1318  10 Si 2.84-3.05, 1 Pu 3.12
Si 0.0000 0.1919 0.5000  2 Si 2.34
Si 0.0000 0.2710 0.3099  3 Si 2.34-2.43

Results
formation energy without anion corrections	-0.30	eV/atom
energy above the most stable polymorph in this dataset	1.842	eV per formula unit


No. 10
Below is a geometry-optimized Tc2PbAu structure, with properties calculated at the PBE level.

a b c (Å): 2.9469 2.9469 29.6946
angles (deg): 90.00 90.00 120.00
Closest atoms and distances in Å follow each position.
Space group R3m (No. 160, hexagonal axes)
Inequivalent atoms, fractional coordinates:
Tc 0.0000 0.0000 0.0000  3 Tc 2.60
Tc 0.0000 0.0000 0.2670  3 Tc 2.60
Pb 0.0000 0.0000 0.5122  6 Pb 2.95, 3 Tc 3.12
Au 0.0000 0.0000 0.7469  3 Tc 2.93, 6 Au 2.95

Results
calculated formation energy	0.405	eV/atom


No. 11
Below is a geometry-optimized Ga5Sb2Pd12 structure, with properties calculated at the PBE level.

a b c (Å): 14.8501 5.7785 8.1938
angles (deg): 90.00 107.00 90.00
Closest atoms and distances in Å follow each position.
Space group C2/m (No. 12)
Inequivalent atoms, fractional coordinates:
Ga 0.0000 0.0000 0.0000  6 Pd 2.48-2.59
Ga 0.1621 0.5000 0.3482  7 Pd 2.52-2.56
Ga 0.1993 0.5000 0.8749  7 Pd 2.55-2.69
Sb 0.0000 0.2538 0.5000  6 Pd 2.71-2.95, 2 Sb 2.85-2.93
Pd 0.0117 0.5000 0.8208  2 Ga 2.55-2.69
Pd 0.0858 0.0000 0.7812  1 Ga 2.48, 2 Sb 2.71, 2 Pd 2.78
Pd 0.1517 0.2484 0.0913  4 Ga 2.53-2.59
Pd 0.1906 0.2496 0.6105  3 Ga 2.52-2.58, 1 Sb 2.71, 1 Pd 2.78

Results
formation energy without anion corrections	-0.38	eV/atom


No. 12
Below is a geometry-optimized Ho4Te2PAu structure, with properties calculated at the PBE level.

a b c (Å): 7.3407 4.1120 7.4266
angles (deg): 90.00 108.32 90.00
Closest atoms and distances in Å follow each position.
Space group P2/m (No. 10)
Inequivalent atoms, fractional coordinates:
Ho 0.2159 0.0000 0.2288  2 P 2.82, 1 Au 2.93, 1 Te 3.08
Ho 0.2195 0.5000 0.7488  1 P 2.82, 2 Au 2.89, 2 Te 3.09
Te 0.5000 0.0000 0.0000  6 Ho 3.08-3.09
Te 0.5000 0.5000 0.5000  6 Ho 3.16-3.17
P 0.0000 0.5000 0.0000  6 Ho 2.82
Au 0.0000 0.0000 0.5000  6 Ho 2.89-2.93

Results
formation energy without anion corrections	-1.25	eV/atom


no.,spin magnetization (μB/f.u.)
1,0.31
2,0.00
3,0.00
4,0.00
5,0.00
6,0.00
7,0.00
8,0.00
9,10.59
10,0.00
11,0.00
12,0.00